# Ca3Be2NiO6 GGA+U relaxed
data_Ca3Be2NiO6
_space_group_name_H-M_alt 'P -3 m 1'
_space_group_IT_number 164
_space_group_name_Hall '-P 3 2"'
_cell_length_a 5.3817
_cell_length_b 5.3817
_cell_length_c 5.9823
_cell_angle_alpha 90.00
_cell_angle_beta 90.00
_cell_angle_gamma 120.00
loop_
_atom_site_label
_atom_site_type_symbol
_atom_site_fract_x
_atom_site_fract_y
_atom_site_fract_z
_atom_site_occupancy
Ca1 Ca 0.0000 0.0000 0.0000 1
Ca2 Ca 0.3333 0.6667 0.6652 1
Be1 Be 0.3333 0.6667 0.2453 1
Ni1 Ni 0.0000 0.0000 0.5000 1
O1 O 0.1727 0.3453 0.2807 1
# Calculated volume, Å³/cell: 150.0
# VASP energy, eV/atom: -6.159
# Magnetic moment, μB per cell: 2.00